# PBE-GGA Zr2TcMo, relaxed
# **Space-group type**: Pmmm (47)
# **Formation enthalpy at 0 K**: -1 kJ/mol of atoms
data_Zr2TcMo
_space_group_name_H-M_alt 'P 1'
_space_group_IT_number 1
_space_group_name_Hall 'P 1'
_cell_length_a 3.3261
_cell_length_b 4.9276
_cell_length_c 4.4499
_cell_angle_alpha 90.00
_cell_angle_beta 90.00
_cell_angle_gamma 90.00
loop_
_atom_site_label
_atom_site_type_symbol
_atom_site_fract_x
_atom_site_fract_y
_atom_site_fract_z
Tc1 Tc 0.0000 0.5000 0.5000
Zr1 Zr 0.0000 0.0000 0.0000
Zr2 Zr 0.5000 0.5000 0.0000
Mo1 Mo 0.5000 0.0000 0.5000